First-principles (PBE with a Hubbard U) data for Cs4Tb3MnO8 after structural relaxation, as listed in Alexandria via LeMat-Bulk.

POSCAR file:
```
Cs4Tb3MnO8
1.0
6.909 0.000 0.000
0.000 7.899 0.605
-3.455 -3.505 5.177
O Mn Cs Tb
8 1 4 3
direct
0.253 0.691 0.505
0.747 0.309 0.495
0.249 0.352 0.057
0.192 0.648 0.943
0.285 0.336 0.571
0.715 0.664 0.429
0.751 0.648 0.943
0.808 0.352 0.057
0.000 0.500 0.000
0.000 0.000 0.000
0.500 0.000 0.000
0.000 0.000 0.500
0.500 0.000 0.500
0.500 0.500 0.000
0.000 0.500 0.500
0.500 0.500 0.500
```

Properties
* DFT total energy: -6.28 eV/atom